12
Lattice="9.172 0.000 0.000 0.000 9.415 0.000 0.000 0.000 9.907" Properties=species:S:1:pos:R:3 comment="RbTiI4 (PBE, relaxed)" rho_g_cm3=2.49 formation_energy_uncorrected_ev_per_fu=-5.534 magnetic_moment_mub_per_cell=2.00 pbc="T T T"
I 7.527 8.019 6.555
I 7.527 1.395 3.352
Rb 0.000 0.000 0.000
I 7.550 3.199 8.496
Ti 0.000 0.000 4.954
Rb 4.586 0.000 4.954
I 1.622 6.216 8.496
Ti 0.000 4.707 0.000
I 7.550 6.216 1.411
I 1.645 1.395 6.555
I 1.645 8.019 3.352
I 1.622 3.199 1.411

***

80
Lattice="-15.699 -0.403 4.321 8.399 -10.613 9.060 5.894 15.001 2.349" Properties=species:S:1:pos:R:3 comment="Rb3Ti5I12 (PBE, relaxed)" rho_g_cm3=4.03 formation_energy_uncorrected_ev_per_fu=-14.501 magnetic_moment_mub_per_cell=44.00 pbc="T T T"
Ti 2.947 7.500 1.174
I 1.300 0.982 2.448
Ti -0.989 -5.789 11.216
I -9.421 -4.008 10.047
I 7.167 0.319 7.970
I -3.092 3.480 8.716
Ti -7.953 6.369 7.514
I 0.816 7.174 10.150
I -4.303 -1.348 12.569
I 8.492 5.184 11.710
I -1.758 -0.485 9.048
Ti -0.417 9.773 4.514
I 6.857 -8.112 8.940
I -8.572 3.665 7.759
I -8.277 2.506 3.226
I 8.961 3.951 7.211
I -2.095 7.578 4.165
I -2.042 1.406 5.313
I 2.961 -0.505 13.077
I -8.263 12.096 6.790
I -9.898 -1.200 4.020
Ti 0.000 0.000 0.000
Ti 1.645 4.914 11.551
I -6.271 0.405 8.791
I 0.636 2.578 10.417
Rb -5.502 2.720 5.846
Rb -0.741 -0.214 12.636
I 0.352 4.469 6.681
I -5.572 6.452 6.070
I -5.820 -0.643 4.243
Ti -5.567 11.497 6.428
I 3.520 7.799 7.002
I -2.706 3.002 13.282
I 3.776 13.709 3.928
I -9.983 7.772 6.222
Ti -3.650 -5.508 6.691
Ti -7.849 -0.202 2.160
I 4.865 3.579 6.939
Rb -6.700 -6.438 10.870
I 4.414 4.627 11.487
Rb 0.836 -3.034 7.870
I -5.182 -9.725 11.802
Ti 6.547 -2.385 8.216
I 4.167 -2.467 9.660
Ti 4.200 -5.307 4.530
I -4.366 4.489 2.653
I -3.411 -5.448 12.549
I 3.157 -5.996 7.192
Ti 2.661 -0.280 4.525
Rb -0.665 4.198 3.094
Ti 2.909 5.295 5.946
Rb -7.888 -2.407 6.932
I 2.898 5.333 3.161
Rb 5.294 10.422 4.860
I -4.925 -3.814 8.728
Ti -4.314 -1.311 9.784
I -0.050 9.989 7.267
Ti -4.067 4.264 11.205
Rb 9.807 1.914 10.229
Rb -11.213 2.071 5.500
Ti 7.146 2.194 5.705
I 6.872 1.478 12.504
Ti -0.703 1.992 7.865
I -10.366 0.033 8.519
I -4.563 9.980 8.538
Rb 6.482 6.392 8.798
I 1.687 0.504 7.014
I 8.578 -3.788 9.508
Ti 4.161 -7.512 9.302
Ti -4.902 7.299 3.335
Ti -3.050 -0.929 4.179
I 8.015 7.992 5.682
I 2.005 9.433 3.181
I -3.729 7.028 11.290
Rb -2.242 7.019 7.860
I 0.690 -3.593 11.564
I -2.222 -3.189 5.580
Rb 4.096 1.264 9.884
I -1.356 -6.005 8.463
I 2.324 -3.044 4.440

***

32
Lattice="9.827 0.000 0.000 0.000 12.722 -7.345 0.000 0.000 14.690" Properties=species:S:1:pos:R:3 comment="RbTi3I12 (PBE, relaxed)" rho_g_cm3=3.17 formation_energy_uncorrected_ev_per_fu=-12.901 magnetic_moment_mub_per_cell=2.04 pbc="T T T"
I 4.560 9.802 -2.460
I 9.474 2.771 4.971
Rb 2.457 4.241 7.345
Ti 7.370 7.791 5.956
I 4.560 5.690 0.086
I 2.457 0.150 11.863
I 7.370 6.708 3.601
I 7.370 12.572 -4.518
I 9.474 7.032 7.259
Ti 7.370 1.262 4.965
I 4.560 9.951 2.374
I 5.267 2.920 9.805
I 0.353 5.690 0.086
I 7.370 12.487 -0.265
I 0.353 9.802 -2.460
I 7.370 6.249 -3.336
I 7.370 2.523 -1.283
I 7.370 10.349 5.801
I 5.267 7.032 7.259
I 2.457 6.014 3.744
Rb 7.370 8.481 0.000
I 9.474 2.920 9.805
I 2.457 2.373 1.544
I 5.267 2.771 4.971
I 2.457 0.235 7.610
I 2.457 6.473 10.681
Ti 7.370 3.668 11.114
Ti 2.457 9.054 -3.769
I 2.457 10.199 8.628
Ti 2.457 4.931 1.389
Ti 2.457 11.460 2.380
I 0.353 9.951 2.374

***

11
Lattice="-5.210 0.535 5.495 4.317 -4.397 4.435 4.041 6.504 6.057" Properties=species:S:1:pos:R:3 comment="Rb3TiI7 (PBE, relaxed)" rho_g_cm3=3.69 formation_energy_uncorrected_ev_per_fu=-12.040 magnetic_moment_mub_per_cell=0.00 pbc="T T T"
I 1.541 0.975 9.302
I 3.197 -2.124 3.957
Ti 3.963 6.333 6.154
I 1.502 5.533 7.189
Rb 3.229 4.001 10.404
I -2.826 0.994 4.627
Rb -1.049 2.774 7.349
I 4.880 3.785 6.813
I 0.714 0.803 2.677
Rb 4.111 0.103 6.775
I 2.313 1.548 13.572

***

5
Lattice="5.803 0.000 0.000 0.000 5.803 0.000 0.000 0.000 5.803" Properties=species:S:1:pos:R:3 comment="RbTiI3 (PBE, relaxed)" rho_g_cm3=4.37 formation_energy_uncorrected_ev_per_fu=-4.393 magnetic_moment_mub_per_cell=2.00 pbc="T T T"
I 0.000 2.902 0.000
Ti 0.000 0.000 0.000
Rb 2.902 2.902 2.902
I 2.902 0.000 0.000
I 0.000 0.000 2.902

***

20
Lattice="-7.110 4.616 -0.740 -4.659 -6.515 4.125 2.484 5.139 10.922" Properties=species:S:1:pos:R:3 comment="Rb3TiI6 (PBE, relaxed)" rho_g_cm3=3.75 formation_energy_uncorrected_ev_per_fu=-11.734 magnetic_moment_mub_per_cell=2.00 pbc="T T T"
I -2.227 -0.740 1.628
Ti 0.000 0.000 0.000
I -4.354 4.398 6.555
Ti -4.643 1.620 7.153
I -7.219 2.107 8.251
I -2.066 1.133 6.056
Rb -5.885 -0.950 1.692
I 1.036 4.367 8.603
I -4.931 -1.158 7.752
I -5.837 1.202 4.610
I -10.322 -1.127 5.704
Rb -3.096 2.938 2.816
I -3.449 2.038 9.697
I -5.702 -3.884 3.865
Rb 1.242 2.569 5.461
Rb -6.189 0.301 11.490
Rb -6.947 5.666 9.268
Rb -2.339 -2.426 5.038
I -7.059 3.979 12.678
I -3.583 7.123 10.442

***

10
Lattice="4.263 0.000 0.000 0.000 9.900 -0.001 -2.132 -0.315 11.004" Properties=species:S:1:pos:R:3 comment="RbTiI3 (PBE, relaxed)" rho_g_cm3=3.68 formation_energy_uncorrected_ev_per_fu=-4.170 magnetic_moment_mub_per_cell=4.00 pbc="T T T"
I 0.000 5.063 3.113
Rb 0.000 8.804 2.906
I 2.132 4.521 7.891
I 2.132 7.489 10.272
I 0.000 2.096 0.731
I 2.132 1.401 4.384
Ti 2.132 3.285 2.349
I 0.000 8.184 6.619
Ti 0.000 6.300 8.654
Rb 2.132 0.781 8.097

***

8
Lattice="-3.182 -7.659 -5.851 7.473 1.931 -6.591 4.808 -5.652 -4.019" Properties=species:S:1:pos:R:3 comment="Rb2TiI (PBE, relaxed)" rho_g_cm3=2.51 formation_energy_uncorrected_ev_per_fu=1.339 magnetic_moment_mub_per_cell=6.00 pbc="T T T"
I 0.000 0.000 0.000
Ti 2.146 -2.864 -6.221
Ti 7.213 -3.293 -8.415
Rb 4.983 -6.447 -7.475
Rb 0.049 -6.196 -5.667
Rb 5.574 -0.926 -5.674
I 1.886 -8.087 -8.045
Rb 7.593 -9.191 -14.105